Rb3Ac3NbO8 after structural relaxation. Source: the Alexandria database, functional GGA-PBE.

Lattice parameters (Å, degrees): 7.4349 7.4349 20.2511 90.00 90.00 120.00
Last column: nearest neighbours and their distance in Å.
Space group R-3m (No. 166, hexagonal axes)
Symmetry-distinct sites (fractional):
Rb (0.0000, 0.5000, 0.0000) x9  6 O 3.01-3.03
Ac (0.0000, 0.5000, 0.5000) x9  6 O 2.49-2.60
Nb (0.0000, 0.0000, 0.5000) x3  6 O 2.07
O (0.0000, 0.0000, 0.2290) x6  3 Ac 2.49
O (0.0597, 0.5298, 0.2200) x18  1 Nb 2.07

Properties
As for the raw formation energy: -2.499 eV per atom.

HoH5 after structural relaxation. Source: the Alexandria database, functional GGA-PBE.

Lattice parameters (Å, degrees): 3.4642 7.1618 3.4764 90.00 90.00 90.00
Last column: nearest neighbours and their distance in Å.
Space group Cmmm (No. 65)
Symmetry-distinct sites (fractional):
Ho (0.0000, 0.0000, 0.0000) x2  10 H 2.16-2.21
H (0.0000, 0.1792, 0.5000) x4  6 H 1.97-2.16, 2 Ho 2.16
H (0.0000, 0.3078, 0.0000) x4  4 H 1.92-1.97
H (0.0000, 0.5000, 0.5000) x2  10 H 2.16-2.30

NaCd6Ga2 after structural relaxation. Source: the Alexandria database, functional GGA-PBE.

Lattice parameters (Å, degrees): 14.9312 8.7389 3.2257 90.00 100.44 90.00
Last column: nearest neighbours and their distance in Å.
Space group C2/m (No. 12)
Symmetry-distinct sites (fractional):
Na (0.0000, 0.0000, 0.0000) x2  2 Na 3.23, 12 Cd 3.29-3.44
Cd (0.0000, 0.3285, 0.5000) x4  5 Cd 2.93-3.23, 4 Ga 3.10-3.12
Cd (0.1757, 0.1694, 0.6815) x8  6 Cd 2.93-3.23, 2 Ga 2.97-3.27
Ga (0.1496, 0.5000, 0.1194) x4  8 Cd 2.97-3.27, 2 Ga 3.23

Properties
As for the formation energy: 0 meV per atom.

NdThAg after structural relaxation. Source: the Alexandria database, functional GGA-PBE.

Lattice parameters (Å, degrees): 5.1932 5.1932 3.5551 90.00 90.00 120.00
Last column: nearest neighbours and their distance in Å.
Space group P3m1 (No. 156)
Symmetry-distinct sites (fractional):
Nd (0.0000, 0.0000, 0.0000) x1  3 Ag 3.23, 3 Th 3.29, 2 Nd 3.56
Th (0.3333, 0.6667, 0.3832) x1  3 Ag 3.16, 3 Nd 3.29
Ag (0.6667, 0.3333, 0.6616) x1  3 Th 3.16, 3 Nd 3.23

Properties
As for the formation energy: 112 meV per atom.

no.,total moment (μB/f.u.),uncorrected energy (eV/atom)
1,0.5,-6.8299
2,0.0,-3.3729
3,0.0,-1.4292
4,0.0,-4.9012